The following is a DFT calculation (GGA-PBE) of a relaxed structure of HoEr3Sb2.

Distance to the lowest polymorph of the same formula = 0 meV per atom
Size of the total moment = 0.000 μB per cell
Energy = -5.19 eV/atom
Uncorrected formation energy = -17.75 kcal/mol of atoms

a = 4.4452 Å, b = 4.4452 Å, c = 8.3708 Å
α = 90.00°, β = 90.00°, γ = 90.00°
Element x y z (fractional)
Sb1 0.5000 0.0000 0.7179
Sb2 0.0000 0.5000 0.2821
Ho1 0.5000 0.5000 0.0000
Er1 0.0000 0.5000 0.6514
Er2 0.0000 0.0000 0.0000
Er3 0.5000 0.0000 0.3486

The following is a DFT calculation (GGA-PBE) of a relaxed structure of BaTlRh.

Calculated formation energy = -242 meV/atom
Size of the total moment = 0.000 μB per cell
Energy = -4.12 eV/atom

a = 7.2168 Å, b = 7.2168 Å, c = 7.2168 Å
α = 90.00°, β = 90.00°, γ = 90.00°
Element x y z (fractional)
Rh1 0.9456 0.0544 0.5544
Rh2 0.4456 0.4456 0.4456
Rh3 0.5544 0.9456 0.0544
Rh4 0.0544 0.5544 0.9456
Ba1 0.6782 0.3218 0.8218
Ba2 0.8218 0.6782 0.3218
Ba3 0.1782 0.1782 0.1782
Ba4 0.3218 0.8218 0.6782
Tl1 0.1697 0.3303 0.6697
Tl2 0.3303 0.6697 0.1697
Tl3 0.8303 0.8303 0.8303
Tl4 0.6697 0.1697 0.3303

The following is a DFT calculation (GGA-PBE) of a relaxed structure of BaMo2Ru.

Calculated formation energy = 1361 meV/atom
Distance to the lowest polymorph of the same formula = 718 meV per atom
Size of the total moment = 0.000 μB per cell
Energy = -6.85 eV/atom

a = 5.3412 Å, b = 3.8664 Å, c = 3.8664 Å
α = 90.00°, β = 90.00°, γ = 90.00°
Element x y z (fractional)
Ba1 0.5000 0.0000 0.5000
Mo1 0.0000 0.5000 0.5000
Mo2 0.0000 0.0000 0.0000
Ru1 0.5000 0.5000 0.0000

The following is a DFT calculation (GGA-PBE) of a relaxed structure of Y3HfB.

Calculated formation energy = 280 meV/atom
Size of the total moment = 1.962 μB per cell
Energy = -6.92 eV/atom

a = 5.0782 Å, b = 5.0782 Å, c = 5.0782 Å
α = 90.00°, β = 90.00°, γ = 90.00°
Last column: magnetic moment on the atom in μB.
Element x y z (fractional)
B1 0.0000 0.0000 0.0000  0.00
Y1 0.0000 0.0000 0.5000  0.12
Y2 0.5000 0.0000 0.0000  0.17
Y3 0.0000 0.5000 0.0000  0.09
Hf1 0.5000 0.5000 0.5000  0.69